[1]
NaLi2Tl | PBEsol | optimized geometry

M_tot ... 0.0 Bohr magnetons per cell
Calculated formation energy ... -166.5 meV/atom
E_tot ... -2.1573 eV per atom
Space group ... Fm-3m (225)

abc: 6.9507 6.9507 6.9507
angles: 90.00 90.00 90.00
Closest atoms and distances in Å follow each position.
Sites, in units of the cell vectors:
Na (0.0000, 0.0000, 0.0000)  8 Li 3.01
Na (0.0000, 0.5000, 0.5000)  8 Li 3.01
Na (0.5000, 0.0000, 0.5000)  8 Li 3.01
Na (0.5000, 0.5000, 0.0000)  8 Li 3.01
Li (0.2500, 0.2500, 0.2500)  4 Tl 3.01, 4 Na 3.01
Li (0.2500, 0.2500, 0.7500)  4 Tl 3.01, 4 Na 3.01
Li (0.2500, 0.7500, 0.2500)  4 Tl 3.01, 4 Na 3.01
Li (0.2500, 0.7500, 0.7500)  4 Tl 3.01, 4 Na 3.01
Li (0.7500, 0.2500, 0.2500)  4 Tl 3.01, 4 Na 3.01
Li (0.7500, 0.2500, 0.7500)  4 Tl 3.01, 4 Na 3.01
Li (0.7500, 0.7500, 0.2500)  4 Tl 3.01, 4 Na 3.01
Li (0.7500, 0.7500, 0.7500)  4 Tl 3.01, 4 Na 3.01
Tl (0.0000, 0.0000, 0.5000)  8 Li 3.01
Tl (0.0000, 0.5000, 0.0000)  8 Li 3.01
Tl (0.5000, 0.0000, 0.0000)  8 Li 3.01
Tl (0.5000, 0.5000, 0.5000)  8 Li 3.01

[2]
Na2LiTl2 | PBEsol | optimized geometry

M_tot ... 0.0 Bohr magnetons per cell
Calculated formation energy ... -65.0 meV/atom
E_tot ... -2.0703 eV per atom
Space group ... P4/mbm (127)

abc: 7.4183 7.4183 4.9874
angles: 90.00 90.00 90.00
Closest atoms and distances in Å follow each position.
Sites, in units of the cell vectors:
Na (0.1652, 0.3348, 0.0000)  6 Tl 3.18-3.40, 1 Na 3.47
Na (0.3348, 0.8348, 0.0000)  6 Tl 3.18-3.40, 1 Na 3.47
Na (0.6652, 0.1652, 0.0000)  6 Tl 3.18-3.40, 1 Na 3.47
Na (0.8348, 0.6652, 0.0000)  6 Tl 3.18-3.40, 1 Na 3.47
Li (0.0000, 0.0000, 0.5000)  4 Tl 2.84
Li (0.5000, 0.5000, 0.5000)  4 Tl 2.84
Tl (0.1462, 0.6462, 0.5000)  2 Li 2.84, 1 Tl 3.07
Tl (0.3538, 0.1462, 0.5000)  2 Li 2.84, 1 Tl 3.07
Tl (0.6462, 0.8538, 0.5000)  2 Li 2.84, 1 Tl 3.07
Tl (0.8538, 0.3538, 0.5000)  2 Li 2.84, 1 Tl 3.07

[3]
NaLi3Zn | PBEsol | optimized geometry

M_tot ... 0.0 Bohr magnetons per cell
Calculated formation energy ... 123.7 meV/atom
E_tot ... -1.6526 eV per atom
Space group ... Pm-3m (221)

abc: 4.9666 4.9666 4.9666
angles: 90.00 90.00 90.00
Closest atoms and distances in Å follow each position.
Sites, in units of the cell vectors:
Na (0.0000, 0.0000, 0.0000)  12 Li 3.51
Li (0.0000, 0.5000, 0.5000)  2 Zn 2.48
Li (0.5000, 0.0000, 0.5000)  2 Zn 2.48
Li (0.5000, 0.5000, 0.0000)  2 Zn 2.48
Zn (0.5000, 0.5000, 0.5000)  6 Li 2.48

[4]
NaLiZr2 | PBEsol | optimized geometry

M_tot ... 0.0 Bohr magnetons per cell
Calculated formation energy ... 722.2 meV/atom
E_tot ... -4.6643 eV per atom
Space group ... Fm-3m (225)

abc: 6.9241 6.9241 6.9241
angles: 90.00 90.00 90.00
Closest atoms and distances in Å follow each position.
Sites, in units of the cell vectors:
Na (0.0000, 0.0000, 0.0000)  8 Zr 3.00
Na (0.0000, 0.5000, 0.5000)  8 Zr 3.00
Na (0.5000, 0.0000, 0.5000)  8 Zr 3.00
Na (0.5000, 0.5000, 0.0000)  8 Zr 3.00
Li (0.0000, 0.0000, 0.5000)  8 Zr 3.00
Li (0.0000, 0.5000, 0.0000)  8 Zr 3.00
Li (0.5000, 0.0000, 0.0000)  8 Zr 3.00
Li (0.5000, 0.5000, 0.5000)  8 Zr 3.00
Zr (0.2500, 0.2500, 0.2500)  4 Na 3.00, 4 Li 3.00
Zr (0.2500, 0.2500, 0.7500)  4 Li 3.00, 4 Na 3.00
Zr (0.2500, 0.7500, 0.2500)  4 Na 3.00, 4 Li 3.00
Zr (0.2500, 0.7500, 0.7500)  4 Na 3.00, 4 Li 3.00
Zr (0.7500, 0.2500, 0.2500)  4 Na 3.00, 4 Li 3.00
Zr (0.7500, 0.2500, 0.7500)  4 Na 3.00, 4 Li 3.00
Zr (0.7500, 0.7500, 0.2500)  4 Na 3.00, 4 Li 3.00
Zr (0.7500, 0.7500, 0.7500)  4 Li 3.00, 4 Na 3.00

[5]
NaLiZr3 | PBEsol | optimized geometry

M_tot ... 0.0 Bohr magnetons per cell
Calculated formation energy ... 1570.5 meV/atom
E_tot ... -4.5567 eV per atom
Space group ... Pm-3m (221)

abc: 5.0284 5.0284 5.0284
angles: 90.00 90.00 90.00
Closest atoms and distances in Å follow each position.
Sites, in units of the cell vectors:
Na (0.0000, 0.0000, 0.0000)  6 Zr 2.51
Li (0.5000, 0.5000, 0.5000)  12 Zr 3.56
Zr (0.0000, 0.0000, 0.5000)  2 Na 2.51
Zr (0.0000, 0.5000, 0.0000)  2 Na 2.51
Zr (0.5000, 0.0000, 0.0000)  2 Na 2.51

[6]
LiNbNiO4 | PBEsol | optimized geometry

ΔE_f (raw) ... -1884 meV/atom
M_tot ... 7.7 Bohr magnetons per cell
E_tot ... -7.5900 eV per atom
Space group ... P4_322 (95)
Relative energy among the computed polymorphs ... 0.000 eV/atom

abc: 5.9320 5.9320 8.4615
angles: 90.00 90.00 90.00
Closest atoms and distances in Å follow each position.
Sites, in units of the cell vectors:
Li (0.0000, 0.2417, 0.0000)  6 O 2.07-2.15
Li (0.0000, 0.7583, 0.5000)  6 O 2.07-2.15
Li (0.2417, 0.0000, 0.2500)  6 O 2.07-2.15
Li (0.7583, 0.0000, 0.7500)  6 O 2.07-2.15
Nb (0.2540, 0.2540, 0.6250)  4 O 1.87-1.90
Nb (0.2540, 0.7460, 0.8750)  4 O 1.87-1.90
Nb (0.7460, 0.2540, 0.3750)  4 O 1.87-1.90
Nb (0.7460, 0.7460, 0.1250)  4 O 1.87-1.90
Ni (0.2455, 0.5000, 0.2500)  6 O 2.00-2.04
Ni (0.5000, 0.2455, 0.0000)  6 O 2.00-2.04
Ni (0.5000, 0.7545, 0.5000)  6 O 2.00-2.04
Ni (0.7545, 0.5000, 0.7500)  6 O 2.00-2.04
O (0.0086, 0.2591, 0.2535)  1 Nb 1.87, 1 Ni 2.00, 1 Li 2.07
O (0.0086, 0.7409, 0.2465)  1 Nb 1.87, 1 Ni 2.00, 1 Li 2.07
O (0.2591, 0.0086, 0.9965)  1 Nb 1.87, 1 Ni 2.00, 1 Li 2.07
O (0.2595, 0.4917, 0.0107)  1 Nb 1.90, 2 Ni 2.03-2.04
O (0.2595, 0.5083, 0.4893)  1 Nb 1.90, 2 Ni 2.03-2.04
O (0.2591, 0.9914, 0.5035)  1 Nb 1.87, 1 Ni 2.00, 1 Li 2.07
O (0.4917, 0.2595, 0.2393)  1 Nb 1.90, 2 Ni 2.03-2.04
O (0.4917, 0.7405, 0.2607)  1 Nb 1.90, 2 Ni 2.03-2.04
O (0.5083, 0.2595, 0.7607)  1 Nb 1.90, 2 Ni 2.03-2.04
O (0.5083, 0.7405, 0.7393)  1 Nb 1.90, 2 Ni 2.03-2.04
O (0.7409, 0.0086, 0.0035)  1 Nb 1.87, 1 Ni 2.00, 1 Li 2.07
O (0.7405, 0.4917, 0.9893)  1 Nb 1.90, 2 Ni 2.03-2.04
O (0.7405, 0.5083, 0.5107)  1 Nb 1.90, 2 Ni 2.03-2.04
O (0.7409, 0.9914, 0.4965)  1 Nb 1.87, 1 Ni 2.00, 1 Li 2.07
O (0.9914, 0.2591, 0.7465)  1 Nb 1.87, 1 Ni 2.00, 1 Li 2.07
O (0.9914, 0.7409, 0.7535)  1 Nb 1.87, 1 Ni 2.00, 1 Li 2.07

[7]
LiNbNiO4 | PBEsol | optimized geometry

ΔE_f (raw) ... -1863 meV/atom
M_tot ... 4.0 Bohr magnetons per cell
E_tot ... -7.5690 eV per atom
Space group ... Imma (74)
Relative energy among the computed polymorphs ... 0.021 eV/atom

abc: 5.9659 5.9659 5.9659
angles: 120.27 118.01 91.51
Closest atoms and distances in Å follow each position.
Sites, in units of the cell vectors:
Li (0.3852, 0.1352, 0.2500)  4 O 1.97-2.00
Li (0.6148, 0.8648, 0.7500)  4 O 1.97-2.00
Nb (0.0000, 0.5000, 0.5000)  6 O 1.98-2.04
Nb (0.5000, 0.5000, 0.0000)  6 O 1.98-2.04
Ni (0.0000, 0.0000, 0.5000)  6 O 2.03-2.12
Ni (0.0000, 0.5000, 0.0000)  6 O 2.03-2.12
O (0.2120, 0.7373, 0.4747)  1 Nb 1.98, 1 Li 2.00, 2 Ni 2.03
O (0.2374, 0.2627, 0.9747)  1 Nb 1.98, 1 Li 2.00, 2 Ni 2.03
O (0.2534, 0.2785, 0.5251)  1 Li 1.97, 2 Nb 2.04, 1 Ni 2.12
O (0.2534, 0.7284, 0.9749)  1 Li 1.97, 2 Nb 2.04, 1 Ni 2.12
O (0.7466, 0.2716, 0.0251)  1 Li 1.97, 2 Nb 2.04, 1 Ni 2.12
O (0.7466, 0.7215, 0.4749)  1 Li 1.97, 2 Nb 2.04, 1 Ni 2.12
O (0.7626, 0.7373, 0.0253)  1 Nb 1.98, 1 Li 2.00, 2 Ni 2.03
O (0.7880, 0.2627, 0.5253)  1 Nb 1.98, 1 Li 2.00, 2 Ni 2.03

[8]
Li4NbNi3O8 | PBEsol | optimized geometry

ΔE_f (raw) ... -1625 meV/atom
M_tot ... 5.0 Bohr magnetons per cell
E_tot ... -6.5723 eV per atom
Space group ... R-3m (166)

abc: 5.8841 5.8841 5.8841
angles: 59.28 59.28 59.28
Closest atoms and distances in Å follow each position.
Sites, in units of the cell vectors:
Li (0.0000, 0.0000, 0.0000)  6 O 2.12
Li (0.0000, 0.5000, 0.5000)  6 O 2.07-2.21
Li (0.5000, 0.0000, 0.5000)  6 O 2.07-2.21
Li (0.5000, 0.5000, 0.0000)  6 O 2.07-2.21
Nb (0.5000, 0.5000, 0.5000)  6 O 2.02
Ni (0.0000, 0.0000, 0.5000)  6 O 1.94-2.07
Ni (0.0000, 0.5000, 0.0000)  6 O 1.94-2.07
Ni (0.5000, 0.0000, 0.0000)  6 O 1.94-2.07
O (0.2343, 0.2343, 0.2343)  3 Ni 1.94
O (0.2552, 0.7443, 0.7443)  1 Nb 2.02, 2 Ni 2.07, 3 Li 2.07-2.12
O (0.2557, 0.2557, 0.7448)  1 Nb 2.02, 2 Ni 2.07, 3 Li 2.07-2.12
O (0.2557, 0.7448, 0.2557)  1 Nb 2.02, 2 Ni 2.07, 3 Li 2.07-2.12
O (0.7443, 0.2552, 0.7443)  1 Nb 2.02, 2 Ni 2.07, 3 Li 2.07-2.12
O (0.7443, 0.7443, 0.2552)  1 Nb 2.02, 2 Ni 2.07, 3 Li 2.07-2.12
O (0.7448, 0.2557, 0.2557)  1 Nb 2.02, 2 Ni 2.07, 3 Li 2.07-2.12
O (0.7657, 0.7657, 0.7657)  3 Ni 1.94

[9]
Li5Nb2Ni3O10 | PBEsol | optimized geometry

ΔE_f (raw) ... -1816 meV/atom
M_tot ... 5.0 Bohr magnetons per cell
E_tot ... -6.9384 eV per atom
Space group ... P-1 (2)

abc: 5.1427 5.1790 7.6222
angles: 70.69 72.04 81.64
Closest atoms and distances in Å follow each position.
Sites, in units of the cell vectors:
Li (0.0000, 0.0000, 0.0000)  6 O 2.08-2.12
Li (0.4847, 0.9318, 0.7013)  5 O 2.03-2.21
Li (0.5003, 0.2757, 0.9039)  5 O 2.00-2.19
Li (0.4997, 0.7243, 0.0961)  5 O 2.00-2.19
Li (0.5153, 0.0682, 0.2987)  5 O 2.03-2.21
Nb (0.0068, 0.3841, 0.2183)  6 O 1.98-2.08
Nb (0.9932, 0.6159, 0.7817)  6 O 1.98-2.08
Ni (0.0058, 0.8088, 0.3928)  6 O 2.02-2.16
Ni (0.5000, 0.5000, 0.5000)  6 O 2.03-2.13
Ni (0.9942, 0.1912, 0.6072)  6 O 2.02-2.16
O (0.2242, 0.6392, 0.9549)  2 Nb 2.07-2.08, 4 Li 2.12-2.25
O (0.2346, 0.2682, 0.7485)  2 Ni 2.02-2.07, 3 Li 2.07-2.09, 1 Nb 2.08
O (0.2425, 0.0698, 0.1525)  1 Nb 1.99, 4 Li 2.00-2.15, 1 Ni 2.03
O (0.2527, 0.8524, 0.5475)  1 Nb 2.01, 2 Li 2.03-2.07, 3 Ni 2.06-2.13
O (0.2546, 0.4481, 0.3525)  1 Nb 1.98, 3 Ni 2.03-2.16, 1 Li 2.15
O (0.7454, 0.5519, 0.6475)  1 Nb 1.98, 3 Ni 2.03-2.16, 1 Li 2.15
O (0.7473, 0.1476, 0.4525)  1 Nb 2.01, 2 Li 2.03-2.07, 3 Ni 2.06-2.13
O (0.7575, 0.9302, 0.8475)  1 Nb 1.99, 4 Li 2.00-2.15, 1 Ni 2.03
O (0.7654, 0.7318, 0.2515)  2 Ni 2.02-2.07, 3 Li 2.07-2.09, 1 Nb 2.08
O (0.7758, 0.3608, 0.0451)  2 Nb 2.07-2.08, 4 Li 2.12-2.25

[10]
Li4Nb3Ni3Sn2O16 | PBEsol | optimized geometry

ΔE_f (raw) ... -1826 meV/atom
M_tot ... 4.9 Bohr magnetons per cell
E_tot ... -7.2296 eV per atom
Space group ... Cm (8)

abc: 5.9452 5.9452 9.7859
angles: 90.44 90.44 60.40
Closest atoms and distances in Å follow each position.
Sites, in units of the cell vectors:
Li (0.0000, 0.0000, 0.0000)  3 O 1.86-2.00
Li (0.2405, 0.2405, 0.0898)  4 O 1.84-1.97
Li (0.5575, 0.5575, 0.5568)  4 O 1.91-2.02
Li (0.8949, 0.8949, 0.4627)  4 O 1.86-1.99
Nb (0.0533, 0.5444, 0.7565)  6 O 2.00-2.09
Nb (0.5444, 0.0533, 0.7565)  6 O 2.00-2.09
Nb (0.7187, 0.7187, 0.2354)  6 O 1.97-2.08
Ni (0.0771, 0.0771, 0.7320)  5 O 1.96-2.16
Ni (0.2385, 0.7283, 0.2504)  6 O 1.96-2.12
Ni (0.7283, 0.2385, 0.2504)  6 O 1.96-2.12
Sn (0.2211, 0.2211, 0.4585)  5 O 1.99-2.16
Sn (0.5335, 0.5335, 0.9727)  6 O 2.03-2.16
O (0.0483, 0.5655, 0.3576)  1 Li 1.99, 1 Sn 2.04, 1 Nb 2.08, 1 Ni 2.11
O (0.0496, 0.0496, 0.3615)  1 Li 1.88, 2 Ni 1.99, 1 Sn 1.99
O (0.2087, 0.7497, 0.8526)  1 Li 2.00, 1 Sn 2.07, 1 Nb 2.08, 1 Ni 2.08
O (0.2863, 0.2863, 0.8947)  1 Li 1.97, 2 Nb 2.00
O (0.3729, 0.3729, 0.6273)  1 Li 2.02, 2 Nb 2.09, 1 Sn 2.26
O (0.3826, 0.9284, 0.6147)  1 Ni 1.96, 1 Li 2.00, 1 Nb 2.02, 1 Sn 2.16
O (0.4071, 0.8645, 0.1064)  1 Li 1.95, 1 Nb 2.04, 1 Ni 2.12, 1 Sn 2.16
O (0.4144, 0.4144, 0.1373)  1 Li 1.84, 2 Ni 1.96, 1 Sn 2.03
O (0.5655, 0.0483, 0.3576)  1 Li 1.99, 1 Sn 2.04, 1 Nb 2.08, 1 Ni 2.11
O (0.5693, 0.5693, 0.3620)  1 Li 1.91, 1 Nb 1.98, 2 Ni 2.02
O (0.7092, 0.7092, 0.8536)  2 Nb 2.02, 1 Sn 2.16
O (0.7497, 0.2087, 0.8526)  1 Li 2.00, 1 Sn 2.07, 1 Nb 2.08, 1 Ni 2.08
O (0.8645, 0.4071, 0.1064)  1 Li 1.95, 1 Nb 2.04, 1 Ni 2.12, 1 Sn 2.16
O (0.8804, 0.8804, 0.6516)  1 Li 1.86, 2 Nb 2.02
O (0.8925, 0.8925, 0.1517)  1 Li 1.86, 1 Nb 1.97, 2 Ni 2.03
O (0.9284, 0.3826, 0.6147)  1 Ni 1.96, 1 Li 2.00, 1 Nb 2.02, 1 Sn 2.16

[11]
Li4Nb3Ni3Te2O16 | PBEsol | optimized geometry

ΔE_f (raw) ... -1703 meV/atom
M_tot ... 5.0 Bohr magnetons per cell
E_tot ... -7.0550 eV per atom
Space group ... Cm (8)

abc: 5.9796 5.9796 10.3334
angles: 90.71 90.71 60.27
Closest atoms and distances in Å follow each position.
Sites, in units of the cell vectors:
Li (0.0000, 0.0000, 0.0000)  4 O 1.95-2.06
Li (0.0020, 0.0020, 0.4829)  4 O 1.89-2.04
Li (0.3281, 0.3281, 0.3997)  4 O 1.93-2.06
Li (0.6573, 0.6573, 0.9082)  4 O 1.97-2.01
Nb (0.1505, 0.6487, 0.7192)  5 O 1.89-2.07
Nb (0.6487, 0.1505, 0.7192)  5 O 1.89-2.07
Nb (0.8108, 0.8108, 0.2303)  4 O 1.92-1.99
Ni (0.1728, 0.1728, 0.7159)  6 O 2.04-2.24
Ni (0.3374, 0.8254, 0.2161)  6 O 2.00-2.11
Ni (0.8254, 0.3374, 0.2161)  6 O 2.00-2.11
Te (0.3242, 0.3242, 0.0173)  3 O 1.94-1.97
Te (0.6344, 0.6344, 0.4912)  3 O 1.98-1.99
O (0.0018, 0.0018, 0.8115)  1 Li 1.95, 1 Ni 2.04, 2 Nb 2.07
O (0.1587, 0.6633, 0.1045)  1 Te 1.97, 1 Li 2.06, 1 Ni 2.09
O (0.1600, 0.1600, 0.1054)  1 Te 1.94, 1 Li 1.97, 2 Ni 2.09
O (0.3103, 0.8195, 0.5920)  1 Li 1.96, 1 Te 1.99, 1 Nb 2.17
O (0.3357, 0.3357, 0.5990)  2 Nb 2.05, 1 Li 2.06, 1 Ni 2.09
O (0.4847, 0.4847, 0.8233)  1 Li 1.98, 2 Nb 2.03
O (0.5100, 0.5100, 0.3439)  1 Li 1.98, 1 Te 1.98, 2 Ni 2.11
O (0.5100, 0.9766, 0.3364)  1 Nb 1.92, 1 Li 1.93, 1 Ni 2.07
O (0.5098, 0.9994, 0.8283)  1 Nb 1.89, 1 Li 1.97, 1 Ni 2.09
O (0.6633, 0.1587, 0.1045)  1 Te 1.97, 1 Li 2.06, 1 Ni 2.09
O (0.6669, 0.6669, 0.1023)  1 Nb 1.98, 1 Li 2.01, 2 Ni 2.08
O (0.8195, 0.3103, 0.5920)  1 Li 1.96, 1 Te 1.99, 1 Nb 2.17
O (0.8457, 0.8457, 0.6017)  2 Nb 2.01, 1 Li 2.04
O (0.9766, 0.5100, 0.3364)  1 Nb 1.92, 1 Li 1.93, 1 Ni 2.07
O (0.9912, 0.9912, 0.3001)  1 Li 1.89, 1 Nb 1.99, 2 Ni 2.00
O (0.9994, 0.5098, 0.8283)  1 Nb 1.89, 1 Li 1.97, 1 Ni 2.09

[12]
Li4Ti3Nb2Ni3O16 | PBEsol | optimized geometry

ΔE_f (raw) ... -2226 meV/atom
M_tot ... 6.0 Bohr magnetons per cell
E_tot ... -7.8308 eV per atom
Space group ... Cm (8)

abc: 5.8445 5.8445 9.6575
angles: 90.17 90.17 60.42
Closest atoms and distances in Å follow each position.
Sites, in units of the cell vectors:
Li (0.0000, 0.0000, 0.0000)  3 O 1.80-1.96
Li (0.0023, 0.0023, 0.4902)  4 O 1.84-1.94
Li (0.3394, 0.3394, 0.5806)  4 O 1.92-1.98
Li (0.6717, 0.6717, 0.0874)  4 O 1.91-1.96
Ti (0.1812, 0.1812, 0.2575)  4 O 1.89-1.91
Ti (0.3509, 0.8474, 0.7679)  5 O 1.86-2.00
Ti (0.8474, 0.3509, 0.7679)  5 O 1.86-2.00
Nb (0.3557, 0.3557, 0.0004)  5 O 1.92-2.11
Nb (0.6711, 0.6711, 0.4856)  3 O 1.88-1.91
Ni (0.1696, 0.6616, 0.2760)  6 O 1.95-2.10
Ni (0.6616, 0.1696, 0.2760)  6 O 1.95-2.10
Ni (0.8325, 0.8325, 0.7766)  6 O 2.00-2.05
O (0.0064, 0.0064, 0.1868)  1 Li 1.80, 1 Ti 1.89, 2 Ni 1.95
O (0.0079, 0.0079, 0.6804)  1 Li 1.84, 2 Ti 1.94, 1 Ni 2.00
O (0.0351, 0.4766, 0.1377)  1 Ti 1.90, 1 Li 1.91, 1 Ni 2.10, 1 Nb 2.11
O (0.1700, 0.1700, 0.8865)  2 Ti 2.00, 1 Li 2.04, 1 Nb 2.17
O (0.1716, 0.6746, 0.8908)  1 Nb 1.94, 1 Li 1.96, 1 Ni 2.05, 1 Ti 2.14
O (0.3279, 0.3279, 0.3822)  1 Ti 1.91, 1 Li 1.92, 2 Ni 1.98
O (0.3376, 0.8401, 0.3951)  1 Nb 1.91, 1 Li 1.94, 1 Ni 2.09
O (0.4766, 0.0351, 0.1377)  1 Ti 1.90, 1 Li 1.91, 1 Ni 2.10, 1 Nb 2.11
O (0.4870, 0.4870, 0.1439)  1 Nb 1.92, 1 Li 1.95, 2 Ni 2.06
O (0.5135, 0.9709, 0.6472)  1 Ti 1.86, 1 Li 1.98, 1 Ni 2.05
O (0.5226, 0.5226, 0.6540)  1 Li 1.98, 2 Ti 1.98, 1 Nb 2.22
O (0.6600, 0.6600, 0.8847)  2 Ti 1.94, 1 Li 1.96, 1 Ni 2.03
O (0.6746, 0.1716, 0.8908)  1 Nb 1.94, 1 Li 1.96, 1 Ni 2.05, 1 Ti 2.14
O (0.8363, 0.8363, 0.3956)  1 Nb 1.88, 1 Li 1.91, 2 Ni 2.05
O (0.8401, 0.3376, 0.3951)  1 Nb 1.91, 1 Li 1.94, 1 Ni 2.09
O (0.9709, 0.5135, 0.6472)  1 Ti 1.86, 1 Li 1.98, 1 Ni 2.05